No. 1
Sr2Si12Pt7, relaxed, DFT PBE-GGA; magnetization = 0.00 μB per formula unit; N(E_F) = 6.6 states/eV/f.u.; SG = No. 147; formation energy (no corrections) = -0.553 eV per atom
1.0
4.052 0.000 0.000
0.000 8.726 -5.038
0.000 0.000 10.076
Si Pt Sr
12 7 2
direct
0.731 0.873 0.737 Si
0.737 0.070 0.440 Si
0.269 0.136 0.873 Si
0.269 0.737 0.864 Si
0.737 0.369 0.930 Si
0.731 0.864 0.127 Si
0.263 0.930 0.560 Si
0.263 0.440 0.369 Si
0.263 0.631 0.070 Si
0.737 0.560 0.631 Si
0.731 0.263 0.136 Si
0.269 0.127 0.263 Si
0.779 0.094 0.699 Pt
0.779 0.301 0.395 Pt
0.221 0.395 0.094 Pt
0.500 0.000 0.000 Pt
0.221 0.699 0.605 Pt
0.221 0.906 0.301 Pt
0.779 0.605 0.906 Pt
0.741 0.667 0.333 Sr
0.259 0.333 0.667 Sr


No. 2
SrSi4Pt2, relaxed, DFT PBE-GGA; magnetization = 0.00 μB per formula unit; N(E_F) = 1.3 states/eV/f.u.; SG = No. 62; formation energy (no corrections) = -0.562 eV per atom
1.0
-4.125 0.150 1.430
-1.606 -4.833 -4.123
3.674 -11.271 11.781
Pt Si Sr
8 16 4
direct
0.750 0.025 0.210 Pt
0.750 0.250 0.972 Pt
0.750 0.250 0.472 Pt
0.750 0.475 0.710 Pt
0.250 0.750 0.028 Pt
0.250 0.750 0.528 Pt
0.250 0.975 0.790 Pt
0.250 0.525 0.290 Pt
0.750 0.782 0.812 Si
0.250 0.218 0.188 Si
0.750 0.647 0.964 Si
0.250 0.147 0.536 Si
0.750 0.956 0.063 Si
0.750 0.853 0.464 Si
0.250 0.673 0.680 Si
0.250 0.044 0.937 Si
0.250 0.456 0.437 Si
0.250 0.353 0.036 Si
0.750 0.718 0.312 Si
0.750 0.544 0.563 Si
0.250 0.282 0.688 Si
0.750 0.327 0.320 Si
0.750 0.173 0.820 Si
0.250 0.827 0.180 Si
0.250 0.009 0.357 Sr
0.250 0.491 0.857 Sr
0.750 0.991 0.643 Sr
0.750 0.509 0.143 Sr


No. 3
Sr2Si4Pt5, relaxed, DFT PBE-GGA; magnetization = 0.00 μB per formula unit; N(E_F) = 5.4 states/eV/f.u.; SG = No. 69; formation energy (no corrections) = -0.830 eV per atom
1.0
5.605 0.000 0.000
2.802 5.260 0.000
2.802 0.000 7.219
Si Pt Sr
4 5 2
direct
0.534 0.679 0.252 Si
0.466 0.321 0.748 Si
0.213 0.321 0.252 Si
0.787 0.679 0.748 Si
0.000 0.500 0.000 Pt
0.500 0.500 0.000 Pt
0.750 0.500 0.500 Pt
0.250 0.500 0.500 Pt
0.500 0.000 0.000 Pt
0.865 0.000 0.271 Sr
0.135 0.000 0.729 Sr


No. 4
Sr2Si2Pt, relaxed, DFT PBE-GGA; magnetization = 0.00 μB per formula unit; N(E_F) = 3.8 states/eV/f.u.; SG = No. 139; formation energy (no corrections) = -0.312 eV per atom
1.0
-2.344 5.517 1.568
-2.218 -2.434 5.249
0.670 2.337 5.024
Sr Si Pt
2 2 1
direct
0.750 0.250 0.500 Sr
0.250 0.750 0.500 Sr
0.338 0.338 0.325 Si
0.662 0.662 0.675 Si
0.000 0.000 0.000 Pt


No. 5
Sr2Si3Pt5, relaxed, DFT PBE-GGA; magnetization = 0.00 μB per formula unit; N(E_F) = 4.7 states/eV/f.u.; SG = No. 72; formation energy (no corrections) = -0.915 eV per atom
1.0
-1.839 -5.165 3.333
6.635 -4.246 3.258
0.756 1.172 8.409
Si Pt Sr
6 10 4
direct
0.250 0.000 0.000 Si
0.618 0.509 0.256 Si
0.118 0.256 0.509 Si
0.750 0.000 0.000 Si
0.882 0.744 0.491 Si
0.382 0.491 0.744 Si
0.889 0.990 0.232 Pt
0.750 0.500 0.500 Pt
0.526 0.724 0.724 Pt
0.389 0.232 0.990 Pt
0.974 0.276 0.276 Pt
0.474 0.276 0.276 Pt
0.250 0.500 0.500 Pt
0.611 0.768 0.010 Pt
0.026 0.724 0.724 Pt
0.111 0.010 0.768 Pt
0.633 0.109 0.624 Sr
0.367 0.891 0.376 Sr
0.133 0.624 0.109 Sr
0.867 0.376 0.891 Sr


No. 6
SrSi4Pt4, relaxed, DFT PBE-GGA; magnetization = 0.00 μB per formula unit; N(E_F) = 1.4 states/eV/f.u.; SG = No. 137; formation energy (no corrections) = -0.714 eV per atom
1.0
6.150 0.000 0.000
0.000 6.150 0.000
0.000 0.000 8.265
Si Pt Sr
8 8 2
direct
0.796 0.500 0.162 Si
0.500 0.204 0.838 Si
0.500 0.796 0.838 Si
0.204 0.500 0.162 Si
0.296 0.000 0.338 Si
0.704 0.000 0.338 Si
0.000 0.704 0.662 Si
0.000 0.296 0.662 Si
0.000 0.727 0.365 Pt
0.273 0.000 0.635 Pt
0.500 0.227 0.135 Pt
0.727 0.000 0.635 Pt
0.500 0.773 0.135 Pt
0.000 0.273 0.365 Pt
0.227 0.500 0.865 Pt
0.773 0.500 0.865 Pt
0.000 0.000 0.000 Sr
0.500 0.500 0.500 Sr


No. 7
Sr2Si3Pt9, relaxed, DFT PBE-GGA; magnetization = 0.00 μB per formula unit; N(E_F) = 5.2 states/eV/f.u.; SG = No. 15; formation energy (no corrections) = -0.694 eV per atom
1.0
-3.472 -5.162 4.525
7.655 0.743 0.160
-0.998 9.586 3.637
Pt Si Sr
18 6 4
direct
0.112 0.862 0.250 Pt
0.447 0.916 0.745 Pt
0.130 0.987 0.944 Pt
0.888 0.138 0.750 Pt
0.550 0.357 0.071 Pt
0.329 0.298 0.245 Pt
0.543 0.186 0.556 Pt
0.126 0.143 0.432 Pt
0.785 0.479 0.429 Pt
0.870 0.013 0.056 Pt
0.671 0.702 0.755 Pt
0.874 0.857 0.568 Pt
0.553 0.084 0.255 Pt
0.215 0.521 0.571 Pt
0.789 0.306 0.932 Pt
0.211 0.694 0.068 Pt
0.457 0.814 0.444 Pt
0.450 0.643 0.929 Pt
0.145 0.823 0.499 Si
0.500 0.000 0.000 Si
0.500 0.500 0.500 Si
0.824 0.647 0.001 Si
0.176 0.353 0.999 Si
0.855 0.177 0.501 Si
0.005 0.414 0.251 Sr
0.995 0.586 0.749 Sr
0.664 0.755 0.249 Sr
0.336 0.245 0.751 Sr


No. 8
SrSiPt, relaxed, DFT PBE-GGA; magnetization = 0.00 μB per formula unit; N(E_F) = 2.2 states/eV/f.u.; SG = No. 187; formation energy (no corrections) = -0.887 eV per atom
1.0
4.154 0.000 0.000
-2.077 3.598 0.000
0.000 0.000 4.748
Si Pt Sr
1 1 1
direct
0.667 0.333 0.167 Si
0.000 0.000 0.167 Pt
0.333 0.667 0.667 Sr